Entry 1:
First-principles (GGA-PBE) data for AcPm4Tl4 after structural relaxation, as listed in Alexandria via LeMat-Bulk.

Output
Raw total energy ... -3.794 eV per atom
Space-group type ... P4_2/n, No. 86
Density ... 9.28 g cm⁻³

Structure (POSCAR):
```
AcPm4Tl4
1.0
9.7169 0.0000 0.0000
0.0000 9.7169 0.0000
0.0000 0.0000 6.1573
Ac Pm Tl
2 8 8
direct
0.2500 0.2500 0.2500
0.7500 0.7500 0.7500
0.0945 0.8311 0.6358
0.1689 0.5945 0.1358
0.3311 0.9055 0.1358
0.4055 0.6689 0.6358
0.5945 0.3311 0.3642
0.6689 0.0945 0.8642
0.8311 0.4055 0.8642
0.9055 0.1689 0.3642
0.0317 0.1387 0.8495
0.1387 0.4683 0.6505
0.3613 0.0317 0.6505
0.4683 0.3613 0.8495
0.5317 0.6387 0.1505
0.6387 0.9683 0.3495
0.8613 0.5317 0.3495
0.9683 0.8613 0.1505
```


Entry 2:
First-principles (GGA-PBE) data for Ac6PmTl4 after structural relaxation, as listed in Alexandria via LeMat-Bulk.

Output
Raw total energy ... -3.714 eV per atom
Space-group type ... I-42m, No. 121
Density ... 8.82 g cm⁻³

Structure (POSCAR):
```
Ac6PmTl4
1.0
-3.4844 3.4844 9.0076
3.4844 -3.4844 9.0076
3.4844 3.4844 -9.0076
Ac Pm Tl
6 1 4
direct
0.0000 0.5000 0.5000
0.0534 0.5874 0.0000
0.4126 0.4126 0.4660
0.5000 0.0000 0.5000
0.5874 0.0534 0.0000
0.9466 0.9466 0.5340
0.5000 0.5000 0.0000
0.1314 0.1314 0.5290
0.3975 0.8686 0.0000
0.6025 0.6025 0.4710
0.8686 0.3975 0.0000
```


no.,spin magnetization (μB/cell)
1,0.0
2,0.2